{"formula": "Sr3CrFe2O9", "functional": "GGA+U", "state": "relaxed", "cell": [[-1.303, -4.327, -3.175], [2.754, -0.772, 4.725], [-5.875, -0.664, 3.316]], "species": ["O", "O", "O", "O", "O", "O", "O", "O", "O", "Sr", "Sr", "Sr", "Cr", "Fe", "Fe"], "frac_coords": [[0.500, 0.500, 0.000], [0.500, 0.000, 0.000], [0.837, 0.163, 0.660], [0.837, 0.674, 0.660], [0.000, 0.500, 0.000], [0.326, 0.163, 0.660], [0.163, 0.326, 0.340], [0.163, 0.837, 0.340], [0.674, 0.837, 0.340], [0.333, 0.667, 0.667], [0.000, 0.000, 0.000], [0.667, 0.333, 0.333], [0.000, 0.000, 0.500], [0.333, 0.667, 0.166], [0.667, 0.333, 0.834]], "magmom_total_mub_per_fu": 10.0, "e_tot_ev_per_atom": -6.57, "sg": "P-3m1 (164)"}